No. 1
# TbLuScPd

A geometry-optimized TbLuScPd structure (GGA-PBE, the Alexandria database).

a = 5.1199 Å, b = 5.1199 Å, c = 5.1199 Å
α = 60.00°, β = 60.00°, γ = 60.00°
Closest atoms and distances in Å follow each position.
Fractional coordinates of all 4 atoms:
1 Tb 0.0000 0.0000 0.0000  4 Sc 3.14, 4 Pd 3.14
2 Pd 0.2500 0.2500 0.2500  4 Tb 3.14, 4 Lu 3.14
3 Lu 0.5000 0.5000 0.5000  4 Sc 3.14, 4 Pd 3.14
4 Sc 0.7500 0.7500 0.7500  4 Tb 3.14, 4 Lu 3.14

The formation energy comes out at -204.1 meV per atom. Its space group is No. 216.

=====

No. 2
# Sm2Ge4Ir3Ru

A geometry-optimized Sm2Ge4Ir3Ru structure (GGA-PBE, the Alexandria database).

a = 4.3089 Å, b = 4.3089 Å, c = 9.9340 Å
α = 90.00°, β = 90.00°, γ = 90.00°
Closest atoms and distances in Å follow each position.
Fractional coordinates of all 10 atoms:
1 Ru 0.5000 0.5000 0.5000  4 Ge 2.49
2 Ge 0.0000 0.0000 0.0000  4 Ir 2.50
3 Ge 0.0000 0.5000 0.3738  3 Ir 2.45-2.49, 2 Ru 2.49
4 Ge 0.5000 0.0000 0.6262  3 Ir 2.45-2.49, 2 Ru 2.49
5 Ge 0.5000 0.5000 0.0000  4 Ir 2.50
6 Ir 0.5000 0.0000 0.8730  5 Ge 2.45-2.50
7 Ir 0.0000 0.0000 0.5000  4 Ge 2.49
8 Ir 0.0000 0.5000 0.1270  5 Ge 2.45-2.50
9 Sm 0.5000 0.0000 0.2488  6 Ir 3.28-3.30, 8 Ge 3.28-3.29, 2 Ru 3.30
10 Sm 0.0000 0.5000 0.7512  6 Ir 3.28-3.30, 8 Ge 3.28-3.29, 2 Ru 3.30

The formation energy comes out at -745.4 meV per atom. Its space group is No. 115.

=====

No. 3
# Cs2PuI4Br2

A geometry-optimized Cs2PuI4Br2 structure (GGA-PBE, the Alexandria database).

a = 7.1083 Å, b = 8.2360 Å, c = 8.2360 Å
α = 61.88°, β = 84.13°, γ = 84.13°
Closest atoms and distances in Å follow each position.
Fractional coordinates of all 9 atoms:
1 Cs 0.2308 0.6644 0.6644  3 Br 3.89-4.24, 6 I 4.04-4.18
2 Cs 0.7692 0.3356 0.3356  3 Br 3.89-4.24, 6 I 4.04-4.18
3 I 0.7134 0.8404 0.3461  1 Pu 3.02
4 I 0.2866 0.1596 0.6539  1 Pu 3.02
5 I 0.7134 0.3461 0.8404  1 Pu 3.02
6 I 0.2866 0.6539 0.1596  1 Pu 3.02
7 Br 0.7719 0.8442 0.8442  1 Pu 2.75
8 Br 0.2281 0.1558 0.1558  1 Pu 2.75
9 Pu 0.5000 0.0000 0.0000  2 Br 2.75, 4 I 3.02

Its space group is No. 12. As for the uncorrected formation energy: -11.983 eV per formula unit.

=====

no.,density of states at the Fermi level (states/eV/cell)
1,4.1
2,4.9
3,8.9